A relaxed KTaBe crystal. Source: the Alexandria database, functional PBE-GGA.

Unit cell a=7.575 b=7.575 c=7.575 alpha=157.55 beta=157.55 gamma=31.95
Element x y z (fractional)
1 K 0.000 0.000 0.000
2 Ta 0.720 0.720 0.000
3 Be 0.315 0.315 0.000

Calculated values
uncorrected energy = -4.75 eV/atom
E_form = 0.81 eV per atom
crystal system = tetragonal
energy above the lowest structure with this stoichiometry = 0.423 eV per atom



A relaxed K2TaBe crystal. Source: the Alexandria database, functional PBE-GGA.

Unit cell a=6.898 b=6.898 c=2.811 alpha=101.03 beta=101.03 gamma=127.39
Element x y z (fractional)
1 K 0.000 0.500 0.000
2 K 0.500 0.000 0.000
3 Ta 0.000 0.000 0.500
4 Be 0.500 0.500 0.500

Calculated values
uncorrected energy = -3.01 eV/atom
E_form = 1.44 eV per atom
crystal system = monoclinic



A relaxed K3TaBe crystal. Source: the Alexandria database, functional PBE-GGA.

Unit cell a=6.748 b=6.748 c=6.748 alpha=90.00 beta=90.00 gamma=90.00
Element x y z (fractional)
1 K 0.000 0.000 0.500
2 K 0.000 0.500 0.000
3 K 0.500 0.000 0.000
4 Ta 0.000 0.000 0.000
5 Be 0.500 0.500 0.500

Calculated values
uncorrected energy = -1.89 eV/atom
E_form = 1.89 eV per atom
crystal system = cubic
energy above the lowest structure with this stoichiometry = 0.122 eV per atom



A relaxed KTa2Be crystal. Source: the Alexandria database, functional PBE-GGA.

Unit cell a=10.733 b=10.733 c=10.733 alpha=15.71 beta=15.71 gamma=15.71
Element x y z (fractional)
1 K 0.000 0.000 0.000
2 Ta 0.230 0.230 0.230
3 Ta 0.770 0.770 0.770
4 Be 0.500 0.500 0.500

Calculated values
uncorrected energy = -6.25 eV/atom
E_form = 0.89 eV per atom
crystal system = trigonal



A relaxed K2TaBe crystal. Source: the Alexandria database, functional PBE-GGA.

Unit cell a=6.588 b=6.588 c=6.588 alpha=144.80 beta=144.80 gamma=50.63
Element x y z (fractional)
1 K 0.250 0.750 0.500
2 K 0.750 0.250 0.500
3 Ta 0.000 0.000 0.000
4 Be 0.500 0.500 0.000

Calculated values
uncorrected energy = -2.92 eV/atom
E_form = 1.52 eV per atom
crystal system = tetragonal



A relaxed KTaBe crystal. Source: the Alexandria database, functional PBE-GGA.

Unit cell a=3.390 b=3.395 c=12.902 alpha=90.50 beta=97.14 gamma=90.00
Element x y z (fractional)
1 K 0.095 0.240 0.165
2 K 0.905 0.760 0.835
3 Ta 0.222 0.248 0.436
4 Ta 0.778 0.752 0.564
5 Be 0.311 0.255 0.633
6 Be 0.689 0.745 0.367

Calculated values
uncorrected energy = -5.15 eV/atom
E_form = 0.41 eV per atom
crystal system = triclinic
energy above the lowest structure with this stoichiometry = 0.022 eV per atom



A relaxed KTaBe crystal. Source: the Alexandria database, functional PBE-GGA.

Unit cell a=8.436 b=3.603 c=10.503 alpha=90.00 beta=90.00 gamma=90.00
Element x y z (fractional)
1 K 0.029 0.250 0.165
2 K 0.471 0.750 0.665
3 K 0.529 0.250 0.335
4 K 0.971 0.750 0.835
5 Ta 0.098 0.250 0.542
6 Ta 0.402 0.750 0.042
7 Ta 0.598 0.250 0.958
8 Ta 0.902 0.750 0.458
9 Be 0.185 0.750 0.396
10 Be 0.315 0.250 0.896
11 Be 0.685 0.750 0.104
12 Be 0.815 0.250 0.604

Calculated values
uncorrected energy = -4.54 eV/atom
E_form = 1.02 eV per atom
crystal system = orthorhombic
energy above the lowest structure with this stoichiometry = 0.636 eV per atom



A relaxed KTaBe crystal. Source: the Alexandria database, functional PBE-GGA.

Unit cell a=4.968 b=4.968 c=5.228 alpha=90.00 beta=90.00 gamma=120.00
Element x y z (fractional)
1 K 0.000 0.000 0.000
2 K 0.000 0.000 0.500
3 Ta 0.333 0.667 0.340
4 Ta 0.667 0.333 0.840
5 Be 0.333 0.667 0.834
6 Be 0.667 0.333 0.334

Calculated values
uncorrected energy = -4.01 eV/atom
E_form = 1.55 eV per atom
crystal system = hexagonal
energy above the lowest structure with this stoichiometry = 1.165 eV per atom



A relaxed KTaBe crystal. Source: the Alexandria database, functional PBE-GGA.

Unit cell a=3.667 b=4.529 c=11.512 alpha=85.01 beta=85.51 gamma=66.38
Element x y z (fractional)
1 K 0.221 0.214 0.188
2 K 0.779 0.786 0.812
3 Ta 0.135 0.201 0.557
4 Ta 0.865 0.799 0.443
5 Be 0.434 0.590 0.585
6 Be 0.566 0.410 0.415

Calculated values
uncorrected energy = -4.98 eV/atom
E_form = 0.58 eV per atom
crystal system = triclinic
energy above the lowest structure with this stoichiometry = 0.196 eV per atom



A relaxed K2TaBe crystal. Source: the Alexandria database, functional PBE-GGA.

Unit cell a=3.977 b=3.977 c=5.960 alpha=90.00 beta=90.00 gamma=90.00
Element x y z (fractional)
1 K 0.000 0.500 0.000
2 K 0.500 0.000 0.000
3 Ta 0.000 0.000 0.500
4 Be 0.500 0.500 0.500

Calculated values
uncorrected energy = -2.92 eV/atom
E_form = 1.53 eV per atom
crystal system = tetragonal



A relaxed KTa2Be crystal. Source: the Alexandria database, functional PBE-GGA.

Unit cell a=5.682 b=5.682 c=5.682 alpha=138.51 beta=138.51 gamma=60.12
Element x y z (fractional)
1 K 0.000 0.000 0.000
2 Ta 0.250 0.750 0.500
3 Ta 0.750 0.250 0.500
4 Be 0.500 0.500 0.000

Calculated values
uncorrected energy = -5.52 eV/atom
E_form = 1.61 eV per atom
crystal system = tetragonal



A relaxed KTa2Be crystal. Source: the Alexandria database, functional PBE-GGA.

Unit cell a=2.929 b=3.649 c=8.449 alpha=90.00 beta=90.77 gamma=90.00
Element x y z (fractional)
1 K 0.000 0.000 0.000
2 Ta 0.477 0.500 0.379
3 Ta 0.985 0.000 0.571
4 Be 0.490 0.500 0.691

Calculated values
uncorrected energy = -6.48 eV/atom
E_form = 0.65 eV per atom
crystal system = monoclinic



A relaxed KTaBe crystal. Source: the Alexandria database, functional PBE-GGA.

Unit cell a=4.811 b=4.811 c=7.801 alpha=90.00 beta=90.00 gamma=120.00
Element x y z (fractional)
1 K 0.000 0.000 0.000
2 K 0.000 0.000 0.500
3 Ta 0.333 0.667 0.158
4 Ta 0.333 0.667 0.842
5 Be 0.667 0.333 0.153
6 Be 0.667 0.333 0.847

Calculated values
uncorrected energy = -4.04 eV/atom
E_form = 1.52 eV per atom
crystal system = hexagonal
energy above the lowest structure with this stoichiometry = 1.130 eV per atom



A relaxed KTaBe crystal. Source: the Alexandria database, functional PBE-GGA.

Unit cell a=3.829 b=4.958 c=10.698 alpha=89.65 beta=89.65 gamma=90.00
Element x y z (fractional)
1 K 0.000 0.000 0.000
2 K 0.491 0.507 0.604
3 Ta 0.996 0.011 0.341
4 Ta 0.997 0.511 0.317
5 Be 0.498 0.249 0.231
6 Be 0.498 0.776 0.232

Calculated values
uncorrected energy = -4.80 eV/atom
E_form = 0.76 eV per atom
crystal system = triclinic
energy above the lowest structure with this stoichiometry = 0.375 eV per atom



A relaxed K2TaBe crystal. Source: the Alexandria database, functional PBE-GGA.

Unit cell a=10.710 b=10.710 c=3.942 alpha=100.54 beta=100.54 gamma=16.37
Element x y z (fractional)
1 K 0.146 0.146 0.145
2 K 0.854 0.854 0.855
3 Ta 0.000 0.000 0.500
4 Be 0.500 0.500 0.000

Calculated values
uncorrected energy = -3.57 eV/atom
E_form = 0.87 eV per atom
crystal system = monoclinic



A relaxed KTa2Be crystal. Source: the Alexandria database, functional PBE-GGA.

Unit cell a=6.470 b=6.470 c=6.470 alpha=156.79 beta=131.23 gamma=54.68
Element x y z (fractional)
1 K 0.000 0.000 0.000
2 Ta 0.294 0.794 0.500
3 Ta 0.706 0.206 0.500
4 Be 0.500 0.500 0.000

Calculated values
uncorrected energy = -6.30 eV/atom
E_form = 0.83 eV per atom
crystal system = orthorhombic



A relaxed KTaBe crystal. Source: the Alexandria database, functional PBE-GGA.

Unit cell a=4.417 b=4.775 c=7.513 alpha=84.32 beta=89.91 gamma=89.86
Element x y z (fractional)
1 K 0.000 0.000 0.000
2 K 0.499 0.475 0.226
3 Ta 0.003 0.099 0.556
4 Ta 0.504 0.851 0.581
5 Be 0.004 0.590 0.673
6 Be 0.502 0.324 0.687

Calculated values
uncorrected energy = -4.68 eV/atom
E_form = 0.88 eV per atom
crystal system = triclinic
energy above the lowest structure with this stoichiometry = 0.489 eV per atom



A relaxed KTaBe crystal. Source: the Alexandria database, functional PBE-GGA.

Unit cell a=5.498 b=5.498 c=9.355 alpha=90.00 beta=90.00 gamma=120.00
Element x y z (fractional)
1 K 0.333 0.667 0.250
2 K 0.667 0.333 0.750
3 Ta 0.000 0.000 0.000
4 Ta 0.000 0.000 0.500
5 Be 0.000 0.000 0.250
6 Be 0.000 0.000 0.750

Calculated values
uncorrected energy = -3.16 eV/atom
E_form = 2.40 eV per atom
crystal system = hexagonal
energy above the lowest structure with this stoichiometry = 2.016 eV per atom



A relaxed K2TaBe crystal. Source: the Alexandria database, functional PBE-GGA.

Unit cell a=2.916 b=2.916 c=11.986 alpha=90.00 beta=90.00 gamma=90.00
Element x y z (fractional)
1 K 0.000 0.000 0.233
2 K 0.000 0.000 0.767
3 Ta 0.500 0.500 0.500
4 Be 0.500 0.500 0.000

Calculated values
uncorrected energy = -3.02 eV/atom
E_form = 1.42 eV per atom
crystal system = tetragonal



A relaxed KYTa2Be crystal. Source: the Alexandria database, functional PBE-GGA.

Unit cell a=4.603 b=4.603 c=5.473 alpha=90.00 beta=90.00 gamma=90.00
Element x y z (fractional)
1 K 0.000 0.000 0.000
2 Y 0.500 0.500 0.000
3 Ta 0.000 0.500 0.500
4 Ta 0.500 0.000 0.500
5 Be 0.000 0.000 0.500

Calculated values
uncorrected energy = -5.82 eV/atom
E_form = 1.18 eV per atom
crystal system = tetragonal